(1)
Here is a relaxed structure of Tl2OsSe from Alexandria via LeMat-Bulk. Energies are from PBE-GGA.

Cell and atoms, written as extended XYZ:
```
4
Lattice="0.000 3.523 3.523 3.523 0.000 3.523 3.523 3.523 0.000" Properties=species:S:1:pos:R:3 pbc="T T T"
Tl 1.762 1.762 1.762
Tl 5.285 5.285 5.285
Os 3.523 3.523 3.523
Se 0.000 0.000 0.000
```

ΔE_f (raw): 1074 meV per atom
E above lowest polymorph: 0.7625 eV per atom
E_tot: -0.1392 Ha/atom

***

(2)
Here is a relaxed structure of TlOsSe2 from Alexandria via LeMat-Bulk. Energies are from PBE-GGA.

Cell and atoms, written as extended XYZ:
```
4
Lattice="-0.763 -1.703 2.428 1.801 -2.258 -1.017 7.292 3.634 4.840" Properties=species:S:1:pos:R:3 pbc="T T T"
Os 6.295 0.898 4.539
Se 6.732 3.355 4.468
Se 2.376 -1.055 1.938
Tl 3.866 1.927 2.566
```

ΔE_f (raw): 350 meV per atom
E above lowest polymorph: 0.3467 eV per atom
E_tot: -0.1761 Ha/atom

***

(3)
Here is a relaxed structure of TlOsSe2 from Alexandria via LeMat-Bulk. Energies are from PBE-GGA.

Cell and atoms, written as extended XYZ:
```
4
Lattice="3.874 -0.009 0.027 1.949 3.348 0.027 1.886 1.081 7.207" Properties=species:S:1:pos:R:3 pbc="T T T"
Os 1.927 1.105 1.815
Se 5.819 3.336 0.658
Se 3.859 2.213 3.027
Tl 5.782 3.315 5.446
```

ΔE_f (raw): 4 meV per atom
E above lowest polymorph: 0.0000 eV per atom
E_tot: -0.1888 Ha/atom

***

(4)
Here is a relaxed structure of TlOsSe3 from Alexandria via LeMat-Bulk. Energies are from PBE-GGA.

Cell and atoms, written as extended XYZ:
```
5
Lattice="4.994 0.000 0.000 0.000 4.994 0.000 0.000 0.000 4.994" Properties=species:S:1:pos:R:3 pbc="T T T"
Tl 2.497 2.497 2.497
Os 0.000 0.000 0.000
Se 0.000 2.497 0.000
Se 0.000 0.000 2.497
Se 2.497 0.000 0.000
```

ΔE_f (raw): 334 meV per atom
E above lowest polymorph: 0.0000 eV per atom
E_tot: -0.1645 Ha/atom